DFT (GGA-PBE) results for a relaxed SrTe2W crystal.

```
data_SrTe2W
_chemical_formula_sum 'Sr1 Te2 W1'
_space_group_name_H-M_alt 'P 1'
_space_group_IT_number 1
_cell_length_a 4.279
_cell_length_b 4.279
_cell_length_c 6.725
_cell_angle_alpha 90.00
_cell_angle_beta 90.00
_cell_angle_gamma 90.00
loop_
_space_group_symop_operation_xyz
'x,y,z'
loop_
_atom_site_label
_atom_site_type_symbol
_atom_site_fract_x
_atom_site_fract_y
_atom_site_fract_z
Sr1 Sr 0.000 0.000 0.000
Te1 Te 0.000 0.000 0.523
Te2 Te 0.500 0.500 0.134
W1 W 0.500 0.500 0.551
```

Output
Formation energy without anion corrections: 0.127 eV/atom
Uncorrected energy: -5.103 eV/atom
DOS(E_F): 1.38 states/eV per cell
Space group: No. 99
Crystal system: tetragonal
ρ: 7.104 g/cm3

DFT (GGA-PBE) results for a relaxed Sr2TeW crystal.

```
data_Sr2TeW
_chemical_formula_sum 'Sr2 Te1 W1'
_space_group_name_H-M_alt 'P 1'
_space_group_IT_number 1
_cell_length_a 4.613
_cell_length_b 4.613
_cell_length_c 6.730
_cell_angle_alpha 90.00
_cell_angle_beta 90.00
_cell_angle_gamma 90.00
loop_
_space_group_symop_operation_xyz
'x,y,z'
loop_
_atom_site_label
_atom_site_type_symbol
_atom_site_fract_x
_atom_site_fract_y
_atom_site_fract_z
Sr1 Sr 0.000 0.000 0.000
Sr2 Sr 0.500 0.500 0.399
Te1 Te 0.000 0.000 0.504
W1 W 0.500 0.500 0.909
```

Output
Formation energy without anion corrections: 0.538 eV/atom
Uncorrected energy: -4.326 eV/atom
DOS(E_F): 1.69 states/eV per cell
Space group: No. 99
Crystal system: tetragonal
ρ: 5.642 g/cm3

DFT (GGA-PBE) results for a relaxed Sr2TeW crystal.

```
data_Sr2TeW
_chemical_formula_sum 'Sr4 Te2 W2'
_space_group_name_H-M_alt 'P 1'
_space_group_IT_number 1
_cell_length_a 4.281
_cell_length_b 4.906
_cell_length_c 12.363
_cell_angle_alpha 90.00
_cell_angle_beta 90.00
_cell_angle_gamma 90.00
loop_
_space_group_symop_operation_xyz
'x,y,z'
loop_
_atom_site_label
_atom_site_type_symbol
_atom_site_fract_x
_atom_site_fract_y
_atom_site_fract_z
Sr1 Sr 0.000 0.000 0.000
Sr2 Sr 0.000 0.500 0.500
Sr3 Sr 0.500 0.000 0.290
Sr4 Sr 0.500 0.500 0.790
Te1 Te 0.000 0.000 0.709
Te2 Te 0.000 0.500 0.209
W1 W 0.500 0.000 0.568
W2 W 0.500 0.500 0.068
```

Output
Formation energy without anion corrections: 0.275 eV/atom
Uncorrected energy: -4.589 eV/atom
DOS(E_F): 6.32 states/eV per cell
Space group: No. 38
Crystal system: orthorhombic
ρ: 6.225 g/cm3

DFT (GGA-PBE) results for a relaxed Sr2TeW crystal.

```
data_Sr2TeW
_chemical_formula_sum 'Sr8 Te4 W4'
_space_group_name_H-M_alt 'P 1'
_space_group_IT_number 1
_cell_length_a 8.691
_cell_length_b 8.691
_cell_length_c 7.118
_cell_angle_alpha 90.00
_cell_angle_beta 90.00
_cell_angle_gamma 90.00
loop_
_space_group_symop_operation_xyz
'x,y,z'
loop_
_atom_site_label
_atom_site_type_symbol
_atom_site_fract_x
_atom_site_fract_y
_atom_site_fract_z
Sr1 Sr 0.243 0.250 0.125
Sr2 Sr 0.250 0.743 0.375
Sr3 Sr 0.250 0.757 0.875
Sr4 Sr 0.257 0.250 0.625
Sr5 Sr 0.743 0.750 0.625
Sr6 Sr 0.750 0.243 0.875
Sr7 Sr 0.750 0.257 0.375
Sr8 Sr 0.757 0.750 0.125
Te1 Te 0.000 0.000 0.500
Te2 Te 0.000 0.500 0.750
Te3 Te 0.500 0.000 0.250
Te4 Te 0.500 0.500 0.000
W1 W 0.000 0.000 0.000
W2 W 0.000 0.500 0.250
W3 W 0.500 0.000 0.750
W4 W 0.500 0.500 0.500
```

Output
Formation energy without anion corrections: 0.707 eV/atom
Uncorrected energy: -4.158 eV/atom
DOS(E_F): 9.24 states/eV per cell
Space group: No. 122
Crystal system: tetragonal
ρ: 6.012 g/cm3

DFT (GGA-PBE) results for a relaxed Sr2TeW crystal.

```
data_Sr2TeW
_chemical_formula_sum 'Sr4 Te2 W2'
_space_group_name_H-M_alt 'P 1'
_space_group_IT_number 1
_cell_length_a 12.354
_cell_length_b 3.675
_cell_length_c 5.639
_cell_angle_alpha 90.00
_cell_angle_beta 109.28
_cell_angle_gamma 90.00
loop_
_space_group_symop_operation_xyz
'x,y,z'
loop_
_atom_site_label
_atom_site_type_symbol
_atom_site_fract_x
_atom_site_fract_y
_atom_site_fract_z
Sr1 Sr 0.000 0.000 0.000
Sr2 Sr 0.200 0.000 0.641
Sr3 Sr 0.500 0.500 0.000
Sr4 Sr 0.700 0.500 0.641
Te1 Te 0.430 0.000 0.447
Te2 Te 0.930 0.500 0.447
W1 W 0.266 0.500 0.190
W2 W 0.766 0.000 0.190
```

Output
Formation energy without anion corrections: 0.306 eV/atom
Uncorrected energy: -4.558 eV/atom
DOS(E_F): 5.62 states/eV per cell
Space group: No. 8
Crystal system: monoclinic
ρ: 6.689 g/cm3

DFT (GGA-PBE) results for a relaxed SrTeW3 crystal.

```
data_SrTeW3
_chemical_formula_sum 'Sr1 Te1 W3'
_space_group_name_H-M_alt 'P 1'
_space_group_IT_number 1
_cell_length_a 4.907
_cell_length_b 4.907
_cell_length_c 4.907
_cell_angle_alpha 90.00
_cell_angle_beta 90.00
_cell_angle_gamma 90.00
loop_
_space_group_symop_operation_xyz
'x,y,z'
loop_
_atom_site_label
_atom_site_type_symbol
_atom_site_fract_x
_atom_site_fract_y
_atom_site_fract_z
Sr1 Sr 0.000 0.000 0.000
Te1 Te 0.500 0.500 0.500
W1 W 0.000 0.000 0.500
W2 W 0.000 0.500 0.000
W3 W 0.500 0.000 0.000
```

Output
Formation energy without anion corrections: 3.579 eV/atom
Uncorrected energy: -5.158 eV/atom
DOS(E_F): 6.26 states/eV per cell
Space group: No. 221
Crystal system: cubic
ρ: 10.777 g/cm3

DFT (GGA-PBE) results for a relaxed SrTe2W crystal.

```
data_SrTe2W
_chemical_formula_sum 'Sr3 Te6 W3'
_space_group_name_H-M_alt 'P 1'
_space_group_IT_number 1
_cell_length_a 5.008
_cell_length_b 5.008
_cell_length_c 26.038
_cell_angle_alpha 90.00
_cell_angle_beta 90.00
_cell_angle_gamma 120.00
loop_
_space_group_symop_operation_xyz
'x,y,z'
loop_
_atom_site_label
_atom_site_type_symbol
_atom_site_fract_x
_atom_site_fract_y
_atom_site_fract_z
Sr1 Sr 0.000 0.000 0.000
Sr2 Sr 0.333 0.667 0.667
Sr3 Sr 0.667 0.333 0.333
Te1 Te 0.000 0.000 0.398
Te2 Te 0.000 0.000 0.602
Te3 Te 0.333 0.667 0.065
Te4 Te 0.333 0.667 0.268
Te5 Te 0.667 0.333 0.732
Te6 Te 0.667 0.333 0.935
W1 W 0.000 0.000 0.500
W2 W 0.333 0.667 0.167
W3 W 0.667 0.333 0.833
```

Output
Formation energy without anion corrections: 0.476 eV/atom
Uncorrected energy: -4.754 eV/atom
DOS(E_F): 13.73 states/eV per cell
Space group: No. 166
Crystal system: trigonal
ρ: 4.638 g/cm3

DFT (GGA-PBE) results for a relaxed SrTe2W crystal.

```
data_SrTe2W
_chemical_formula_sum 'Sr1 Te2 W1'
_space_group_name_H-M_alt 'P 1'
_space_group_IT_number 1
_cell_length_a 5.306
_cell_length_b 5.306
_cell_length_c 3.632
_cell_angle_alpha 90.00
_cell_angle_beta 90.00
_cell_angle_gamma 90.00
loop_
_space_group_symop_operation_xyz
'x,y,z'
loop_
_atom_site_label
_atom_site_type_symbol
_atom_site_fract_x
_atom_site_fract_y
_atom_site_fract_z
Sr1 Sr 0.000 0.000 0.000
Te1 Te 0.000 0.500 0.500
Te2 Te 0.500 0.000 0.500
W1 W 0.500 0.500 0.000
```

Output
Formation energy without anion corrections: 0.204 eV/atom
Uncorrected energy: -5.025 eV/atom
DOS(E_F): 2.68 states/eV per cell
Space group: No. 123
Crystal system: tetragonal
ρ: 8.551 g/cm3